Record 1
## Al5Sb3 (PBE)

Data for a relaxed structure of Al5Sb3.

Properties
Calculated volume, A^3/atom: 22.190
Relative energy among the computed polymorphs, eV/atom: 0.000
Symmetry: Cmmm (65)
ΔE_f (raw), eV/f.u.: 1.5

The structure in CIF format:
```
data_Al5Sb3
_chemical_formula_sum 'Al10 Sb6'
_cell_length_a 7.130
_cell_length_b 10.702
_cell_length_c 4.653
_cell_angle_alpha 90.00
_cell_angle_beta 90.00
_cell_angle_gamma 90.00
_space_group_name_H-M_alt 'P 1'
_space_group_IT_number 1
loop_
_space_group_symop_operation_xyz
'x,y,z'
loop_
_atom_site_label
_atom_site_type_symbol
_atom_site_fract_x
_atom_site_fract_y
_atom_site_fract_z
Al1 Al 0.000 0.000 0.000
Al2 Al 0.243 0.500 0.500
Al3 Al 0.250 0.250 0.000
Al4 Al 0.250 0.750 0.000
Al5 Al 0.257 0.000 0.500
Al6 Al 0.500 0.500 0.000
Al7 Al 0.743 0.000 0.500
Al8 Al 0.750 0.250 0.000
Al9 Al 0.750 0.750 0.000
Al10 Al 0.757 0.500 0.500
Sb1 Sb 0.000 0.206 0.500
Sb2 Sb 0.000 0.500 0.000
Sb3 Sb 0.000 0.794 0.500
Sb4 Sb 0.500 0.000 0.000
Sb5 Sb 0.500 0.294 0.500
Sb6 Sb 0.500 0.706 0.500
```

Record 2
## Al4Sb5 (PBE)

Data for a relaxed structure of Al4Sb5.

Properties
Calculated volume, A^3/atom: 23.542
Relative energy among the computed polymorphs, eV/atom: 0.046
Symmetry: I4/mmm (139)
ΔE_f (raw), eV/f.u.: 2.4

The structure in CIF format:
```
data_Al4Sb5
_chemical_formula_sum 'Al4 Sb5'
_cell_length_a 7.680
_cell_length_b 7.680
_cell_length_c 7.680
_cell_angle_alpha 93.57
_cell_angle_beta 93.57
_cell_angle_gamma 151.12
_space_group_name_H-M_alt 'P 1'
_space_group_IT_number 1
loop_
_space_group_symop_operation_xyz
'x,y,z'
loop_
_atom_site_label
_atom_site_type_symbol
_atom_site_fract_x
_atom_site_fract_y
_atom_site_fract_z
Al1 Al 0.000 0.352 0.352
Al2 Al 0.000 0.648 0.648
Al3 Al 0.352 0.000 0.352
Al4 Al 0.648 0.000 0.648
Sb1 Sb 0.000 0.000 0.000
Sb2 Sb 0.329 0.329 0.659
Sb3 Sb 0.329 0.671 0.000
Sb4 Sb 0.671 0.329 0.000
Sb5 Sb 0.671 0.671 0.341
```

Record 3
## AlSb2 (PBE)

Data for a relaxed structure of AlSb2.

Properties
Calculated volume, A^3/atom: 29.304
Symmetry: P1 (1)
ΔE_f (raw), eV/f.u.: 0.2

The structure in CIF format:
```
data_AlSb2
_chemical_formula_sum 'Al2 Sb4'
_cell_length_a 4.385
_cell_length_b 6.215
_cell_length_c 6.975
_cell_angle_alpha 78.08
_cell_angle_beta 88.00
_cell_angle_gamma 71.05
_space_group_name_H-M_alt 'P 1'
_space_group_IT_number 1
loop_
_space_group_symop_operation_xyz
'x,y,z'
loop_
_atom_site_label
_atom_site_type_symbol
_atom_site_fract_x
_atom_site_fract_y
_atom_site_fract_z
Al1 Al 0.000 0.000 0.000
Al2 Al 0.359 0.249 0.455
Sb1 Sb 0.383 0.249 0.842
Sb2 Sb 0.764 0.546 0.314
Sb3 Sb 0.840 0.654 0.889
Sb4 Sb 0.955 0.958 0.397
```

Record 4
## AlSb2 (PBE)

Data for a relaxed structure of AlSb2.

Properties
Calculated volume, A^3/atom: 25.636
Symmetry: C2/m (12)
ΔE_f (raw), eV/f.u.: 0.3

The structure in CIF format:
```
data_AlSb2
_chemical_formula_sum 'Al4 Sb8'
_cell_length_a 12.947
_cell_length_b 3.120
_cell_length_c 8.275
_cell_angle_alpha 90.00
_cell_angle_beta 113.00
_cell_angle_gamma 90.00
_space_group_name_H-M_alt 'P 1'
_space_group_IT_number 1
loop_
_space_group_symop_operation_xyz
'x,y,z'
loop_
_atom_site_label
_atom_site_type_symbol
_atom_site_fract_x
_atom_site_fract_y
_atom_site_fract_z
Al1 Al 0.074 0.000 0.418
Al2 Al 0.426 0.500 0.582
Al3 Al 0.574 0.500 0.418
Al4 Al 0.926 0.000 0.582
Sb1 Sb 0.072 0.500 0.885
Sb2 Sb 0.242 0.500 0.704
Sb3 Sb 0.258 0.000 0.296
Sb4 Sb 0.428 0.000 0.115
Sb5 Sb 0.572 0.000 0.885
Sb6 Sb 0.742 0.000 0.704
Sb7 Sb 0.758 0.500 0.296
Sb8 Sb 0.928 0.500 0.115
```

Number 1: N(E_F) 5.07 states/eV/cell. Number 2: N(E_F) 4.87 states/eV/cell. Number 3: N(E_F) 1.57 states/eV/cell. Number 4: N(E_F) 3.63 states/eV/cell.